{"formula": "Dy2Y3Tm3", "functional": "GGA-PBE", "state": "relaxed", "formation_enthalpy_0k_kj_per_mol_atoms": 13.5, "lattice_angstrom": [[4.735, 2.734, 3.335], [-4.735, 2.734, 3.335], [0.000, -5.467, 3.335]], "species": ["Dy", "Dy", "Y", "Y", "Y", "Tm", "Tm", "Tm"], "fractional_positions": [[0.192, 0.192, 0.192], [0.808, 0.808, 0.808], [0.214, 0.786, 0.500], [0.500, 0.214, 0.786], [0.786, 0.500, 0.214], [0.000, 0.312, 0.688], [0.312, 0.688, 0.000], [0.688, 0.000, 0.312]]}



{"formula": "Rb2HgSbI6", "functional": "GGA-PBE", "state": "relaxed", "raw_formation_energy_kj_per_mol_fu": -725, "lattice_angstrom": [[8.615, 0.000, 0.000], [-4.143, 7.578, 0.000], [-4.239, -2.588, 7.124]], "species": ["Rb", "Rb", "Hg", "Sb", "I", "I", "I", "I", "I", "I"], "fractional_positions": [[0.000, 0.000, 0.000], [0.015, 0.510, 0.507], [0.464, 0.190, 0.730], [0.461, 0.686, 0.229], [0.390, 0.921, 0.983], [0.398, 0.431, 0.923], [0.515, 0.934, 0.533], [0.525, 0.442, 0.469], [0.942, 0.929, 0.405], [0.977, 0.436, 0.055]]}



{"formula": "CrSbPI2", "functional": "GGA-PBE", "state": "relaxed", "raw_formation_energy_kj_per_mol_fu": 378, "lattice_angstrom": [[5.392, 0.000, 0.000], [0.000, 5.392, 0.000], [0.000, 0.000, 5.446]], "species": ["Cr", "Sb", "P", "I", "I"], "fractional_positions": [[0.000, 0.000, 0.000], [0.500, 0.500, 0.000], [0.500, 0.500, 0.500], [0.000, 0.500, 0.500], [0.500, 0.000, 0.500]]}